<a>
VASP calculation (GGA-PBE) on crystalline Li3ReNi at its relaxed geometry.

D(E_F) ... 6.42 states/eV/f.u.
Space-group type ... No. 221
Calculated density ... 4.2 Mg/m³

POSCAR file:
```
Li3ReNi
1.0
4.730 0.000 0.000
0.000 4.730 0.000
0.000 0.000 4.730
Li Re Ni
3 1 1
Direct
0.000 0.000 0.500 Li
0.000 0.500 0.000 Li
0.500 0.000 0.000 Li
0.000 0.000 0.000 Re
0.500 0.500 0.500 Ni
```

<b>
VASP calculation (GGA-PBE) on crystalline Li3ReNi at its relaxed geometry.

D(E_F) ... 4.45 states/eV/f.u.
Space-group type ... No. 221
Calculated density ... 6.5 Mg/m³

POSCAR file:
```
Li3ReNi
1.0
4.079 0.000 0.000
0.000 4.079 0.000
0.000 0.000 4.079
Li Re Ni
3 1 1
Direct
0.000 0.000 0.500 Li
0.000 0.500 0.000 Li
0.500 0.000 0.000 Li
0.500 0.500 0.500 Re
0.000 0.000 0.000 Ni
```

<b> (519 meV/atom below the next structure)

<a>
VASP calculation (GGA-PBE) on crystalline Li2NiRh at its relaxed geometry.

D(E_F) ... 3.78 states/eV/f.u.
Space-group type ... No. 65
Calculated density ... 5.7 Mg/m³

POSCAR file:
```
Li2NiRh
1.0
1.364 -2.193 0.000
1.364 2.193 0.000
0.000 0.000 8.547
Li Ni Rh
2 1 1
Direct
0.000 0.000 0.245 Li
0.000 0.000 0.755 Li
0.500 0.500 0.000 Ni
0.500 0.500 0.500 Rh
```

<b>
VASP calculation (GGA-PBE) on crystalline Li2NiRh at its relaxed geometry.

D(E_F) ... 4.37 states/eV/f.u.
Space-group type ... No. 139
Calculated density ... 5.7 Mg/m³

POSCAR file:
```
Li2NiRh
1.0
-1.770 1.770 4.046
1.770 -1.770 4.046
1.770 1.770 -4.046
Li Ni Rh
2 1 1
Direct
0.250 0.750 0.500 Li
0.750 0.250 0.500 Li
0.000 0.000 0.000 Ni
0.500 0.500 0.000 Rh
```

<c>
VASP calculation (GGA-PBE) on crystalline Li2NiRh at its relaxed geometry.

D(E_F) ... 2.49 states/eV/f.u.
Space-group type ... No. 166
Calculated density ... 5.7 Mg/m³

POSCAR file:
```
Li2NiRh
1.0
1.312 0.757 8.523
-1.312 0.757 8.523
0.000 -1.515 8.523
Li Ni Rh
2 1 1
Direct
0.248 0.248 0.248 Li
0.752 0.752 0.752 Li
0.500 0.500 0.500 Ni
0.000 0.000 0.000 Rh
```

<d>
VASP calculation (GGA-PBE) on crystalline Li2NiRh at its relaxed geometry.

D(E_F) ... 2.54 states/eV/f.u.
Space-group type ... No. 8
Calculated density ... 5.8 Mg/m³

POSCAR file:
```
Li2NiRh
1.0
4.702 -1.287 0.000
4.702 1.287 0.000
-2.071 0.000 4.182
Li Ni Rh
2 1 1
Direct
0.000 0.000 0.000 Li
0.238 0.238 0.921 Li
0.493 0.493 0.479 Ni
0.756 0.756 0.442 Rh
```

<d> (10 meV/atom below the next structure)

<a>
VASP calculation (GGA-PBE) on crystalline Li2NiRh at its relaxed geometry.

D(E_F) ... 4.67 states/eV/f.u.
Space-group type ... No. 123
Calculated density ... 5.7 Mg/m³

POSCAR file:
```
Li2NiRh
1.0
3.541 0.000 0.000
0.000 3.541 0.000
0.000 0.000 4.045
Li Ni Rh
2 1 1
Direct
0.000 0.500 0.000 Li
0.500 0.000 0.000 Li
0.000 0.000 0.500 Ni
0.500 0.500 0.500 Rh
```

<b>
VASP calculation (GGA-PBE) on crystalline Li2NiRh at its relaxed geometry.

D(E_F) ... 3.50 states/eV/f.u.
Space-group type ... No. 12
Calculated density ... 5.8 Mg/m³

POSCAR file:
```
Li2NiRh
1.0
4.386 -1.313 0.000
4.386 1.313 0.000
-0.975 0.000 4.330
Li Ni Rh
2 1 1
Direct
0.245 0.245 0.249 Li
0.755 0.755 0.751 Li
0.500 0.500 0.000 Ni
0.000 0.000 0.500 Rh
```

<b> (96 meV/atom below the next structure)